1.
A plane-wave DFT calculation with PBE was carried out for an optimized crystal structure of CuSb2TeN.

Structure (POSCAR):
```
CuSb2TeN
1.0
4.769 0.000 0.000
0.000 4.769 0.000
0.000 0.000 4.601
Cu Sb Te N
1 2 1 1
direct
0.000 0.000 0.000
0.000 0.500 0.500
0.500 0.000 0.500
0.500 0.500 0.000
0.500 0.500 0.500
```

Computed properties:
energy relative to the elements, uncorrected = 0.784 eV per atom
relative energy among the computed polymorphs = 0.0 meV per atom
density = 7.12 g/cm3
size of the total moment = 0.0 μB per cell

=====

2.
A plane-wave DFT calculation with PBE was carried out for an optimized crystal structure of ThCuSbN.

Structure (POSCAR):
```
ThCuSbN
1.0
4.126 0.000 0.000
0.000 4.126 0.000
0.000 0.000 9.527
Th Cu Sb N
2 2 2 2
direct
0.250 0.250 0.119
0.750 0.750 0.881
0.250 0.750 0.500
0.750 0.250 0.500
0.250 0.250 0.670
0.750 0.750 0.330
0.250 0.750 0.000
0.750 0.250 0.000
```

Computed properties:
energy relative to the elements, uncorrected = -0.946 eV per atom
density = 8.83 g/cm3
size of the total moment = 0.0 μB per cell

=====

3.
A plane-wave DFT calculation with PBE was carried out for an optimized crystal structure of ThCuSb2N.

Structure (POSCAR):
```
ThCuSb2N
1.0
3.940 0.000 0.000
0.000 3.940 0.000
0.000 0.000 15.198
Th Cu Sb N
2 2 4 2
direct
0.250 0.250 0.080
0.750 0.750 0.920
0.250 0.250 0.602
0.750 0.750 0.398
0.250 0.250 0.431
0.250 0.250 0.768
0.750 0.750 0.232
0.750 0.750 0.569
0.250 0.750 0.000
0.750 0.250 0.000
```

Computed properties:
energy relative to the elements, uncorrected = -0.639 eV per atom
density = 7.79 g/cm3
size of the total moment = 0.0 μB per cell

=====

4.
A plane-wave DFT calculation with PBE was carried out for an optimized crystal structure of UCuSbN.

Structure (POSCAR):
```
UCuSbN
1.0
3.924 0.000 0.000
0.000 3.924 0.000
0.000 0.000 9.092
U Cu Sb N
2 2 2 2
direct
0.250 0.250 0.125
0.750 0.750 0.875
0.250 0.750 0.500
0.750 0.250 0.500
0.250 0.250 0.692
0.750 0.750 0.308
0.250 0.750 0.000
0.750 0.250 0.000
```

Computed properties:
energy relative to the elements, uncorrected = -0.745 eV per atom
density = 10.37 g/cm3
size of the total moment = 2.3 μB per cell

=====

5.
A plane-wave DFT calculation with PBE was carried out for an optimized crystal structure of ScCuN2.

Structure (POSCAR):
```
ScCuN2
1.0
-2.213 2.213 5.146
2.213 -2.213 5.146
2.213 2.213 -5.146
Sc Cu N
2 2 4
direct
0.000 0.000 0.000
0.750 0.250 0.500
0.250 0.750 0.500
0.500 0.500 0.000
0.156 0.625 0.031
0.375 0.406 0.531
0.594 0.125 0.969
0.875 0.844 0.469
```

Computed properties:
energy relative to the elements, uncorrected = -0.169 eV per atom
relative energy among the computed polymorphs = 0.0 meV per atom
density = 4.50 g/cm3
size of the total moment = 0.0 μB per cell

=====

6.
A plane-wave DFT calculation with PBE was carried out for an optimized crystal structure of ScCuN2.

Structure (POSCAR):
```
ScCuN2
1.0
1.665 0.961 5.699
-1.665 0.961 5.699
0.000 -1.923 5.699
Sc Cu N
1 1 2
direct
0.000 0.000 0.000
0.500 0.500 0.500
0.396 0.396 0.396
0.604 0.604 0.604
```

Computed properties:
energy relative to the elements, uncorrected = -0.147 eV per atom
relative energy among the computed polymorphs = 22.0 meV per atom
density = 4.14 g/cm3
size of the total moment = 1.7 μB per cell

=====

7.
A plane-wave DFT calculation with PBE was carried out for an optimized crystal structure of ScCuN2.

Structure (POSCAR):
```
ScCuN2
1.0
0.000 2.706 2.706
2.706 0.000 2.706
2.706 2.706 0.000
Sc Cu N
1 1 2
direct
0.000 0.000 0.000
0.500 0.500 0.500
0.250 0.250 0.250
0.750 0.750 0.750
```

Computed properties:
energy relative to the elements, uncorrected = 0.155 eV per atom
relative energy among the computed polymorphs = 323.6 meV per atom
density = 5.72 g/cm3
size of the total moment = 0.0 μB per cell

=====

8.
A plane-wave DFT calculation with PBE was carried out for an optimized crystal structure of ScCu3N.

Structure (POSCAR):
```
ScCu3N
1.0
4.048 0.000 0.000
0.000 4.048 0.000
0.000 0.000 4.048
Sc Cu N
1 3 1
direct
0.000 0.000 0.000
0.000 0.500 0.500
0.500 0.000 0.500
0.500 0.500 0.000
0.500 0.500 0.500
```

Computed properties:
energy relative to the elements, uncorrected = 0.290 eV per atom
relative energy among the computed polymorphs = 0.0 meV per atom
density = 6.25 g/cm3
size of the total moment = 0.0 μB per cell